No. 1
# HfCu2BrO (PBE-GGA, optimized geometry)
# Volume (Å³ per cell): 108.1
# Fermi-level density of states (states/eV/cell): 3.3
# Formation energy without anion corrections (eV per atom): -0.195
# Theoretical density (g cm⁻³): 6.17
data_HfCu2BrO
_chemical_formula_sum 'Hf1 Cu2 Br1 O1'
_cell_length_a 5.253
_cell_length_b 5.253
_cell_length_c 3.917
_cell_angle_alpha 90.00
_cell_angle_beta 90.00
_cell_angle_gamma 90.00
_symmetry_space_group_name_H-M 'P 4/m m m'
_symmetry_Int_Tables_number 123
_symmetry_space_group_name_Hall '-P 4 2'
loop_
_atom_site_label
_atom_site_fract_x
_atom_site_fract_y
_atom_site_fract_z
Hf1 0.000 0.000 0.000
Cu1 0.000 0.500 0.000
Br1 0.500 0.500 0.500
O1 0.000 0.000 0.500

No. 2
# Sm2PtCl (PBE-GGA, optimized geometry)
# Volume (Å³ per cell): 328.2
# Fermi-level density of states (states/eV/cell): 9.4
# Formation energy without anion corrections (eV per atom): -1.350
# Theoretical density (g cm⁻³): 8.06
# Polymorph energy (0 for the lowest one) (meV per atom): 0.0
data_Sm2PtCl
_chemical_formula_sum 'Sm6 Pt3 Cl3'
_cell_length_a 4.1396
_cell_length_b 4.1396
_cell_length_c 22.1128
_cell_angle_alpha 90.00
_cell_angle_beta 90.00
_cell_angle_gamma 120.00
_symmetry_space_group_name_H-M 'R -3 m'
_symmetry_Int_Tables_number 166
_symmetry_space_group_name_Hall '-R 3 2"'
loop_
_atom_site_label
_atom_site_fract_x
_atom_site_fract_y
_atom_site_fract_z
Sm1 0.0000 0.0000 0.2364
Pt1 0.0000 0.0000 0.5000
Cl1 0.0000 0.0000 0.0000

No. 3
# ZnPtCl2 (PBE-GGA, optimized geometry)
# Volume (Å³ per cell): 87.4
# Formation energy without anion corrections (eV per atom): -0.196
# Theoretical density (g cm⁻³): 6.30
# Polymorph energy (0 for the lowest one) (meV per atom): 212.7
data_ZnPtCl2
_chemical_formula_sum 'Zn1 Pt1 Cl2'
_cell_length_a 3.495
_cell_length_b 3.495
_cell_length_c 7.157
_cell_angle_alpha 90.00
_cell_angle_beta 90.00
_cell_angle_gamma 90.00
_symmetry_space_group_name_H-M 'P 4 m m'
_symmetry_Int_Tables_number 99
loop_
_symmetry_equiv_pos_as_xyz
'x,y,z'
'-y,x,z'
'-x,-y,z'
'y,-x,z'
'-x,y,z'
'y,x,z'
'x,-y,z'
'-y,-x,z'
loop_
_atom_site_label
_atom_site_fract_x
_atom_site_fract_y
_atom_site_fract_z
Zn1 0.000 0.000 0.000
Pt1 0.500 0.500 0.895
Cl1 0.000 0.000 0.655
Cl2 0.500 0.500 0.222

No. 4
# CoAu2 (PBE-GGA, optimized geometry)
# Volume (Å³ per cell): 193.3
# Fermi-level density of states (states/eV/cell): 10.5
# Theoretical density (g cm⁻³): 15.56
# Calculated formation energy (eV/atom): 0.202
data_CoAu2
_chemical_formula_sum 'Co4 Au8'
_cell_length_a 4.302
_cell_length_b 12.593
_cell_length_c 3.568
_cell_angle_alpha 90.00
_cell_angle_beta 90.00
_cell_angle_gamma 90.00
_symmetry_space_group_name_H-M 'C m c m'
_symmetry_Int_Tables_number 63
_symmetry_space_group_name_Hall '-C 2c 2'
loop_
_atom_site_label
_atom_site_fract_x
_atom_site_fract_y
_atom_site_fract_z
Co1 0.000 0.059 0.250
Au1 0.000 0.233 0.750
Au2 0.000 0.415 0.250

No. 5
# BaSr2MgIr (PBE-GGA, optimized geometry)
# Volume (Å³ per cell): 187.1
# Fermi-level density of states (states/eV/cell): 3.5
# Theoretical density (g cm⁻³): 4.70
# Calculated formation energy (eV/atom): -0.066
# Polymorph energy (0 for the lowest one) (meV per atom): 0.0
data_BaSr2MgIr
_chemical_formula_sum 'Ba1 Sr2 Mg1 Ir1'
_cell_length_a 5.894
_cell_length_b 5.894
_cell_length_c 5.384
_cell_angle_alpha 90.00
_cell_angle_beta 90.00
_cell_angle_gamma 90.00
_symmetry_space_group_name_H-M 'P 4/m m m'
_symmetry_Int_Tables_number 123
_symmetry_space_group_name_Hall '-P 4 2'
loop_
_atom_site_label
_atom_site_fract_x
_atom_site_fract_y
_atom_site_fract_z
Ba1 0.000 0.000 0.000
Sr1 0.000 0.500 0.500
Mg1 0.500 0.500 0.000
Ir1 0.500 0.500 0.500

No. 6
# LaEuZnAu (PBE-GGA, optimized geometry)
# Volume (Å³ per cell): 425.1
# Fermi-level density of states (states/eV/cell): 25.6
# Theoretical density (g cm⁻³): 8.65
# Calculated formation energy (eV/atom): -0.533
data_LaEuZnAu
_chemical_formula_sum 'La4 Eu4 Zn4 Au4'
_cell_length_a 7.519
_cell_length_b 7.519
_cell_length_c 7.519
_cell_angle_alpha 90.00
_cell_angle_beta 90.00
_cell_angle_gamma 90.00
_symmetry_space_group_name_H-M 'F -4 3 m'
_symmetry_Int_Tables_number 216
_symmetry_space_group_name_Hall 'F -4 2 3'
loop_
_atom_site_label
_atom_site_fract_x
_atom_site_fract_y
_atom_site_fract_z
La1 0.000 0.000 0.000
Eu1 0.000 0.000 0.500
Zn1 0.250 0.250 0.750
Au1 0.250 0.250 0.250

No. 7
# Nb2AlCoTe (PBE-GGA, optimized geometry)
# Volume (Å³ per cell): 114.6
# Fermi-level density of states (states/eV/cell): 8.7
# Formation energy without anion corrections (eV per atom): 1.579
# Theoretical density (g cm⁻³): 5.79
data_Nb2AlCoTe
_chemical_formula_sum 'Nb2 Al1 Co1 Te1'
_cell_length_a 4.765
_cell_length_b 4.765
_cell_length_c 5.046
_cell_angle_alpha 90.00
_cell_angle_beta 90.00
_cell_angle_gamma 90.00
_symmetry_space_group_name_H-M 'P 4/m m m'
_symmetry_Int_Tables_number 123
_symmetry_space_group_name_Hall '-P 4 2'
loop_
_atom_site_label
_atom_site_fract_x
_atom_site_fract_y
_atom_site_fract_z
Nb1 0.000 0.500 0.000
Al1 0.000 0.000 0.000
Co1 0.500 0.500 0.500
Te1 0.000 0.000 0.500

No. 8
# AcPmY6Er2 (PBE-GGA, optimized geometry)
# Volume (Å³ per cell): 1356.4
# Fermi-level density of states (states/eV/cell): 63.5
# Theoretical density (g cm⁻³): 6.07
# Calculated formation energy (eV/atom): 0.128
data_AcPmY6Er2
_chemical_formula_sum 'Ac4 Pm4 Y24 Er8'
_cell_length_a 9.326
_cell_length_b 15.247
_cell_length_c 9.579
_cell_angle_alpha 90.00
_cell_angle_beta 95.20
_cell_angle_gamma 90.00
_symmetry_space_group_name_H-M 'C 1 2/c 1'
_symmetry_Int_Tables_number 15
loop_
_symmetry_equiv_pos_as_xyz
'x,y,z'
'-x,-y,-z'
'-x,y,-z+1/2'
'x,-y,z+1/2'
'x+1/2,y+1/2,z'
'-x+1/2,-y+1/2,-z'
'-x+1/2,y+1/2,-z+1/2'
'x+1/2,-y+1/2,z+1/2'
loop_
_atom_site_label
_atom_site_fract_x
_atom_site_fract_y
_atom_site_fract_z
Ac1 0.000 0.033 0.250
Pm1 0.000 0.412 0.750
Y1 0.062 0.184 0.942
Y2 0.098 0.388 0.113
Y3 0.216 0.230 0.321
Er1 0.245 0.445 0.448

No. 9
# NaTiS2N (PBE-GGA, optimized geometry)
# Volume (Å³ per cell): 92.2
# Fermi-level density of states (states/eV/cell): 1.9
# Formation energy without anion corrections (eV per atom): -0.496
# Theoretical density (g cm⁻³): 2.68
# Polymorph energy (0 for the lowest one) (meV per atom): 0.0
data_NaTiS2N
_chemical_formula_sum 'Na1 Ti1 S2 N1'
_cell_length_a 4.828
_cell_length_b 4.828
_cell_length_c 3.953
_cell_angle_alpha 90.00
_cell_angle_beta 90.00
_cell_angle_gamma 90.00
_symmetry_space_group_name_H-M 'P 4/m m m'
_symmetry_Int_Tables_number 123
_symmetry_space_group_name_Hall '-P 4 2'
loop_
_atom_site_label
_atom_site_fract_x
_atom_site_fract_y
_atom_site_fract_z
Na1 0.000 0.000 0.000
Ti1 0.500 0.500 0.500
S1 0.000 0.500 0.500
N1 0.500 0.500 0.000

No. 10
# RbMgSe2N (PBE-GGA, optimized geometry)
# Volume (Å³ per cell): 180.8
# Fermi-level density of states (states/eV/cell): 4.0
# Formation energy without anion corrections (eV per atom): 1.338
# Theoretical density (g cm⁻³): 2.59
# Polymorph energy (0 for the lowest one) (meV per atom): 1161.3
data_RbMgSe2N
_chemical_formula_sum 'Rb1 Mg1 Se2 N1'
_cell_length_a 5.991
_cell_length_b 5.991
_cell_length_c 5.036
_cell_angle_alpha 90.00
_cell_angle_beta 90.00
_cell_angle_gamma 90.00
_symmetry_space_group_name_H-M 'P 4/m m m'
_symmetry_Int_Tables_number 123
_symmetry_space_group_name_Hall '-P 4 2'
loop_
_atom_site_label
_atom_site_fract_x
_atom_site_fract_y
_atom_site_fract_z
Rb1 0.000 0.000 0.000
Mg1 0.500 0.500 0.500
Se1 0.000 0.500 0.000
N1 0.000 0.000 0.500

No. 11
# NaSrCd2In2 (PBE-GGA, optimized geometry)
# Volume (Å³ per cell): 165.5
# Fermi-level density of states (states/eV/cell): 4.0
# Theoretical density (g cm⁻³): 5.67
# Calculated formation energy (eV/atom): -0.248
data_NaSrCd2In2
_chemical_formula_sum 'Na1 Sr1 Cd2 In2'
_cell_length_a 5.1248
_cell_length_b 5.1248
_cell_length_c 7.2742
_cell_angle_alpha 90.00
_cell_angle_beta 90.00
_cell_angle_gamma 120.00
_symmetry_space_group_name_H-M 'P -3 m 1'
_symmetry_Int_Tables_number 164
_symmetry_space_group_name_Hall '-P 3 2"'
loop_
_atom_site_label
_atom_site_fract_x
_atom_site_fract_y
_atom_site_fract_z
Na1 0.0000 0.0000 0.0000
Sr1 0.0000 0.0000 0.5000
Cd1 0.3333 0.6667 0.2313
In1 0.3333 0.6667 0.7638

No. 12
# SrHfSb2Te (PBE-GGA, optimized geometry)
# Volume (Å³ per cell): 173.5
# Fermi-level density of states (states/eV/cell): 4.0
# Formation energy without anion corrections (eV per atom): -0.455
# Theoretical density (g cm⁻³): 6.10
# Polymorph energy (0 for the lowest one) (meV per atom): 0.0
data_SrHfSb2Te
_chemical_formula_sum 'Sr1 Hf1 Sb2 Te1'
_cell_length_a 5.564
_cell_length_b 5.564
_cell_length_c 5.604
_cell_angle_alpha 90.00
_cell_angle_beta 90.00
_cell_angle_gamma 90.00
_symmetry_space_group_name_H-M 'P 4/m m m'
_symmetry_Int_Tables_number 123
_symmetry_space_group_name_Hall '-P 4 2'
loop_
_atom_site_label
_atom_site_fract_x
_atom_site_fract_y
_atom_site_fract_z
Sr1 0.000 0.000 0.000
Hf1 0.500 0.500 0.500
Sb1 0.000 0.500 0.500
Te1 0.500 0.500 0.000